#a
A plane-wave DFT calculation with GGA-PBEsol was carried out for a geometry-optimized TlCuAs2 structure.

The value obtained for the total magnetization is 0.000 μB/atom. The value obtained for the mass density is 8717 kg/m3. The calculation puts the density of states at the Fermi level at 0.387 states/eV per atom.

The structure in POSCAR format:
```
TlCuAs2
1.0
3.3299 0.0000 0.0000
0.0000 3.3299 0.0000
0.0000 0.0000 7.1775
As Cu Tl
2 1 1
Cartesian
0.0000 0.0000 5.9468
0.0000 0.0000 1.2306
1.6650 1.6650 0.0000
1.6650 1.6650 3.5887
```

#b
A plane-wave DFT calculation with GGA-PBEsol was carried out for a geometry-optimized TlCuAs2 structure.

The value obtained for the total magnetization is 0.000 μB/atom. The value obtained for the mass density is 9017 kg/m3. The calculation puts the density of states at the Fermi level at 0.485 states/eV per atom.

The structure in POSCAR format:
```
TlCuAs2
1.0
2.9787 0.0000 0.0000
0.0000 5.1692 0.0000
-1.4893 -2.5846 4.9966
As Cu Tl
2 1 1
Cartesian
1.4893 2.5846 2.0019
0.0000 0.0000 2.9947
0.0000 2.5846 0.0000
1.4893 0.0000 0.0000
```

Name the least stable of them. #b.